1.
This record from the Alexandria database describes crystalline BaCrCo at its relaxed geometry. The functional is PBE.

Unit cell a=4.040 b=4.040 c=5.283 alpha=90.00 beta=90.00 gamma=120.00
Fractional coordinates of all 3 atoms:
Ba1 0.000 0.000 0.000
Cr1 0.333 0.667 0.500
Co1 0.667 0.333 0.500

Properties
Space-group type: P-6m2
ΔH_f (0 K): 0.66 eV per atom
ΔE to the lowest computed polymorph: 0 meV per atom
M_tot: 2.328 μB/f.u.

=====

2.
This record from the Alexandria database describes crystalline Sr3Li2P3 at its relaxed geometry. The functional is PBE.

Unit cell a=6.251 b=6.251 c=14.881 alpha=90.00 beta=90.00 gamma=139.72
Fractional coordinates of all 16 atoms:
Sr1 0.076 0.924 0.605
Sr2 0.076 0.924 0.895
Sr3 0.346 0.654 0.750
Sr4 0.654 0.346 0.250
Sr5 0.924 0.076 0.105
Sr6 0.924 0.076 0.395
Li1 0.226 0.774 0.077
Li2 0.226 0.774 0.423
Li3 0.774 0.226 0.577
Li4 0.774 0.226 0.923
P1 0.337 0.663 0.250
P2 0.382 0.618 0.548
P3 0.382 0.618 0.952
P4 0.618 0.382 0.048
P5 0.618 0.382 0.452
P6 0.663 0.337 0.750

Properties
Space-group type: Cmcm
ΔH_f (0 K): -0.87 eV per atom
M_tot: 0.000 μB/f.u.

=====

3.
This record from the Alexandria database describes crystalline InGe3Ir at its relaxed geometry. The functional is PBE.

Unit cell a=4.880 b=4.880 c=4.880 alpha=90.00 beta=90.00 gamma=90.00
Fractional coordinates of all 5 atoms:
In1 0.000 0.000 0.000
Ge1 0.000 0.500 0.500
Ge2 0.500 0.000 0.500
Ge3 0.500 0.500 0.000
Ir1 0.500 0.500 0.500

Properties
Space-group type: Pm-3m
ΔH_f (0 K): 0.25 eV per atom
M_tot: 0.000 μB/f.u.

=====

4.
This record from the Alexandria database describes crystalline Tl3InBi2 at its relaxed geometry. The functional is PBE.

Unit cell a=9.448 b=9.448 c=9.448 alpha=134.81 beta=65.74 gamma=134.92
Fractional coordinates of all 12 atoms:
Tl1 0.169 0.223 0.392
Tl2 0.250 0.250 0.000
Tl3 0.331 0.723 0.053
Tl4 0.669 0.277 0.947
Tl5 0.750 0.750 0.000
Tl6 0.831 0.777 0.608
In1 0.250 0.750 0.500
In2 0.750 0.250 0.500
Bi1 0.123 0.715 0.837
Bi2 0.377 0.215 0.592
Bi3 0.623 0.785 0.408
Bi4 0.877 0.285 0.163

Properties
Space-group type: Ibam
ΔH_f (0 K): 0.01 eV per atom
M_tot: 0.000 μB/f.u.

=====

5.
This record from the Alexandria database describes crystalline CuNi2Te at its relaxed geometry. The functional is PBE.

Unit cell a=3.923 b=3.923 c=3.599 alpha=90.00 beta=90.00 gamma=90.00
Fractional coordinates of all 4 atoms:
Cu1 0.000 0.000 0.000
Ni1 0.000 0.500 0.500
Ni2 0.500 0.000 0.500
Te1 0.500 0.500 0.000

Properties
Space-group type: P4/mmm
M_tot: 0.003 μB/f.u.
Formation energy without anion corrections: 82 meV/atom

=====

6.
This record from the Alexandria database describes crystalline LiInS2Cl at its relaxed geometry. The functional is PBE.

Unit cell a=4.995 b=4.995 c=5.360 alpha=90.00 beta=90.00 gamma=90.00
Fractional coordinates of all 5 atoms:
Li1 0.000 0.000 0.000
In1 0.500 0.500 0.500
S1 0.000 0.500 0.500
S2 0.500 0.000 0.500
Cl1 0.500 0.500 0.000

Properties
Space-group type: P4/mmm
ΔE to the lowest computed polymorph: 0 meV per atom
M_tot: 0.476 μB/f.u.
Formation energy without anion corrections: -343 meV/atom

=====

7.
This record from the Alexandria database describes crystalline Ni2Ir7Os2 at its relaxed geometry. The functional is PBE.

Unit cell a=4.898 b=4.898 c=6.926 alpha=95.62 beta=98.37 gamma=99.21
Fractional coordinates of all 11 atoms:
Ni1 0.085 0.290 0.062
Ni2 0.915 0.710 0.938
Ir1 0.000 0.500 0.500
Ir2 0.051 0.039 0.694
Ir3 0.375 0.561 0.823
Ir4 0.396 0.901 0.154
Ir5 0.604 0.099 0.846
Ir6 0.625 0.439 0.177
Ir7 0.949 0.961 0.306
Os1 0.436 0.245 0.497
Os2 0.564 0.755 0.503

Properties
Space-group type: P-1
ΔH_f (0 K): 0.26 eV per atom
M_tot: 0.000 μB/f.u.

=====

8.
This record from the Alexandria database describes crystalline SbPb2Cl at its relaxed geometry. The functional is PBE.

Unit cell a=3.477 b=3.477 c=10.488 alpha=90.00 beta=90.00 gamma=109.92
Fractional coordinates of all 4 atoms:
Sb1 0.000 0.000 0.000
Pb1 0.000 0.000 0.523
Pb2 0.500 0.500 0.229
Cl1 0.500 0.500 0.719

Properties
Space-group type: Cmm2
ΔE to the lowest computed polymorph: 272 meV per atom
M_tot: 0.000 μB/f.u.
Formation energy without anion corrections: -153 meV/atom